Density functional theory data (PBE-GGA) for a relaxed structure of Na5B6C4.

Unit cell a=4.9527 b=7.5828 c=8.9488 alpha=107.66 beta=90.02 gamma=109.06
Last column: nearest neighbours and their distance in Å.
Space group P-1 (No. 2)
Asymmetric unit:
Na 0.0000 0.0000 0.0000  4 C 2.68-2.72, 8 B 2.69-2.71, 6 Na 2.85-2.87
Na 0.1002 0.2004 0.5001  8 B 2.68-2.72, 4 C 2.69-2.71, 6 Na 2.85-2.87
Na 0.2006 0.4003 0.9980  7 B 2.65-2.71, 5 C 2.67-2.70, 6 Na 2.85-2.87
Na 0.3007 0.6014 0.4999  6 B 2.64-2.69, 6 C 2.67-2.68, 6 Na 2.85-2.87
Na 0.3993 0.8016 0.0019  7 B 2.62-2.72, 5 C 2.68-2.70, 6 Na 2.85-2.87
Na 0.5000 0.0000 0.5000  8 B 2.64-2.73, 4 C 2.70, 6 Na 2.86
B 0.0840 0.4996 0.7497  3 C 1.61-1.67
B 0.1337 0.9000 0.2497  2 C 1.63, 1 B 1.74
B 0.2179 0.1001 0.7505  3 B 1.73-1.74
B 0.2805 0.8886 0.7499  2 C 1.62-1.64, 1 B 1.73
B 0.3157 0.2997 0.2503  3 C 1.61-1.67
B 0.4918 0.3113 0.7501  2 C 1.62-1.64, 1 B 1.73
C 0.0181 0.6940 0.7493  3 B 1.61-1.67
C 0.1816 0.6974 0.2495  3 B 1.63-1.64
C 0.3842 0.1026 0.2501  3 B 1.63-1.64
C 0.4237 0.5053 0.7493  3 B 1.61-1.67

For the formation energy, the calculation gives 84 meV per atom. The density of states at the Fermi level comes out at 6.355 states/eV/cell. For the calculated density, the calculation gives 2.5 g/cm³. As for the crystal system: triclinic.

Density functional theory data (PBE-GGA) for a relaxed structure of NaBC.

Unit cell a=2.8873 b=2.8873 c=8.5412 alpha=90.00 beta=90.00 gamma=90.00
Last column: nearest neighbours and their distance in Å.
Space group P4/nmm (No. 129, origin choice 2)
Asymmetric unit:
Na 0.2500 0.2500 0.2128  4 C 2.57, 4 B 2.85
B 0.2500 0.7500 0.5000  4 C 1.70
C 0.2500 0.2500 0.6053  4 B 1.70

For the formation energy, the calculation gives 370 meV per atom. The density of states at the Fermi level comes out at 0.551 states/eV/cell. For the calculated density, the calculation gives 2.1 g/cm³. As for the crystal system: tetragonal.